1.
An optimized crystal structure of YTl2SiH. Source: Alexandria, functional PBE.

Computed properties:
Calculated total energy, eV per atom: -3.485
Density, g/cm³: 6.2
Space group: No. 123

Unit cell a=6.0330 b=3.8466 c=6.0330 alpha=90.00 beta=90.00 gamma=90.00
Fractional coordinates of all 5 atoms:
Tl 0.0000 0.0000 0.5000
Tl 0.5000 0.0000 0.0000
Y 0.0000 0.0000 0.0000
H 0.0000 0.5000 0.0000
Si 0.5000 0.5000 0.5000

=====

2.
An optimized crystal structure of Tm12Si3H5. Source: Alexandria, functional PBE.

Computed properties:
Calculated total energy, eV per atom: -4.692
Density, g/cm³: 8.5
Space group: No. 230

Unit cell a=12.8887 b=12.8887 c=12.8887 alpha=109.47 beta=109.47 gamma=109.47
Fractional coordinates of all 80 atoms:
H 0.2500 0.8750 0.1250
H 0.5000 0.5000 0.5000
H 0.1250 0.7500 0.3750
H 0.3750 0.1250 0.7500
H 0.8750 0.2500 0.6250
H 0.5000 0.0000 0.0000
H 0.0000 0.5000 0.5000
H 0.6250 0.8750 0.2500
H 0.8750 0.6250 0.7500
H 0.5000 0.5000 0.0000
H 0.0000 0.5000 0.0000
H 0.3750 0.2500 0.1250
H 0.7500 0.1250 0.8750
H 0.7500 0.6250 0.3750
H 0.1250 0.3750 0.2500
H 0.0000 0.0000 0.5000
H 0.6250 0.7500 0.8750
H 0.0000 0.0000 0.0000
H 0.2500 0.3750 0.6250
H 0.5000 0.0000 0.5000
Tm 0.1911 0.0946 0.9782
Tm 0.5946 0.9782 0.6911
Tm 0.9782 0.5946 0.1911
Tm 0.9054 0.8089 0.5218
Tm 0.3837 0.4054 0.0965
Tm 0.5946 0.6163 0.4035
Tm 0.2128 0.6911 0.0965
Tm 0.1163 0.4035 0.0946
Tm 0.4035 0.1163 0.5946
Tm 0.5965 0.7128 0.6911
Tm 0.7128 0.1163 0.0218
Tm 0.2872 0.8837 0.9782
Tm 0.0218 0.6163 0.7128
Tm 0.5218 0.3089 0.9054
Tm 0.0946 0.1911 0.4782
Tm 0.1911 0.0965 0.7128
Tm 0.4782 0.6911 0.0946
Tm 0.0965 0.9054 0.3837
Tm 0.4054 0.0218 0.3089
Tm 0.4054 0.3837 0.5965
Tm 0.0946 0.9035 0.1163
Tm 0.5965 0.8837 0.4054
Tm 0.0218 0.4054 0.8089
Tm 0.4782 0.7872 0.8837
Tm 0.9035 0.8089 0.7872
Tm 0.0965 0.1911 0.2128
Tm 0.2872 0.4035 0.8089
Tm 0.7872 0.3089 0.9035
Tm 0.3837 0.9782 0.7872
Tm 0.3089 0.7872 0.4035
Tm 0.7872 0.4782 0.3837
Tm 0.8089 0.9035 0.2872
Tm 0.8837 0.5965 0.9054
Tm 0.1163 0.7128 0.5218
Tm 0.7128 0.5965 0.1911
Tm 0.6911 0.4782 0.5946
Tm 0.3089 0.5218 0.4054
Tm 0.6911 0.2128 0.5965
Tm 0.6163 0.0218 0.2128
Tm 0.9782 0.3837 0.2872
Tm 0.2128 0.5218 0.6163
Tm 0.6163 0.5946 0.9035
Tm 0.4035 0.2872 0.3089
Tm 0.9035 0.0946 0.6163
Tm 0.5218 0.2128 0.1163
Tm 0.8089 0.9054 0.0218
Tm 0.9054 0.0965 0.8837
Tm 0.8837 0.2872 0.4782
Si 0.1250 0.8750 0.7500
Si 0.2500 0.6250 0.8750
Si 0.8750 0.7500 0.1250
Si 0.7500 0.3750 0.1250
Si 0.7500 0.8750 0.6250
Si 0.1250 0.2500 0.8750
Si 0.3750 0.7500 0.6250
Si 0.6250 0.2500 0.3750
Si 0.6250 0.3750 0.7500
Si 0.2500 0.1250 0.3750
Si 0.8750 0.1250 0.2500
Si 0.3750 0.6250 0.2500

=====

3.
An optimized crystal structure of Tm4Si2H. Source: Alexandria, functional PBE.

Computed properties:
Calculated total energy, eV per atom: -5.135
Density, g/cm³: 8.4
Excess energy over the best structure of this formula in the dataset, eV/f.u.: 0.250
Space group: No. 139

Unit cell a=4.3279 b=4.3279 c=8.3266 alpha=74.94 beta=74.94 gamma=90.00
Fractional coordinates of all 7 atoms:
Tm 0.0000 0.5000 0.0000
Tm 0.5000 0.0000 0.0000
Tm 0.8195 0.8195 0.3611
Tm 0.1805 0.1805 0.6389
H 0.0000 0.0000 0.0000
Si 0.3660 0.3660 0.2679
Si 0.6340 0.6340 0.7321

=====

4.
An optimized crystal structure of TmSiH. Source: Alexandria, functional PBE.

Computed properties:
Calculated total energy, eV per atom: -5.108
Density, g/cm³: 7.7
Excess energy over the best structure of this formula in the dataset, eV/f.u.: 0.000
Space group: No. 11

Unit cell a=3.9342 b=3.8248 c=5.9735 alpha=90.00 beta=109.19 gamma=90.00
Fractional coordinates of all 6 atoms:
Si 0.5544 0.1155 0.5707
Si 0.6757 0.6155 0.8149
H 0.3686 0.6154 0.2012
H 0.8616 0.1155 0.1845
Tm 0.2625 0.1155 0.9886
Tm 0.9676 0.6155 0.3971

=====

5.
An optimized crystal structure of Tm4Si2H. Source: Alexandria, functional PBE.

Computed properties:
Calculated total energy, eV per atom: -5.171
Density, g/cm³: 8.2
Excess energy over the best structure of this formula in the dataset, eV/f.u.: 0.000
Space group: No. 11

Unit cell a=5.9856 b=6.3007 c=8.3241 alpha=90.00 beta=109.98 gamma=90.00
Fractional coordinates of all 14 atoms:
Si 0.2434 0.2500 0.4292
Si 0.2964 0.2500 0.9560
Si 0.7036 0.7500 0.0440
Si 0.7566 0.7500 0.5708
H 0.7457 0.2500 0.8095
H 0.2543 0.7500 0.1905
Tm 0.4837 0.9997 0.7334
Tm 0.0723 0.7500 0.3796
Tm 0.0986 0.7500 0.9115
Tm 0.9014 0.2500 0.0885
Tm 0.5163 0.4997 0.2666
Tm 0.4837 0.5003 0.7334
Tm 0.5163 0.0003 0.2666
Tm 0.9277 0.2500 0.6204

=====

6.
An optimized crystal structure of Tm2SiH. Source: Alexandria, functional PBE.

Computed properties:
Calculated total energy, eV per atom: -4.704
Density, g/cm³: 5.6
Excess energy over the best structure of this formula in the dataset, eV/f.u.: 0.584
Space group: No. 166

Unit cell a=4.3005 b=4.3005 c=7.2050 alpha=72.64 beta=72.64 gamma=60.00
Fractional coordinates of all 4 atoms:
H 0.0000 0.0000 0.0000
Si 0.5000 0.5000 0.5000
Tm 0.1023 0.1023 0.6931
Tm 0.8977 0.8977 0.3069

=====

7.
An optimized crystal structure of TmSiH. Source: Alexandria, functional PBE.

Computed properties:
Calculated total energy, eV per atom: -4.909
Density, g/cm³: 6.9
Excess energy over the best structure of this formula in the dataset, eV/f.u.: 0.599
Space group: No. 164

Unit cell a=3.6582 b=3.6581 c=8.1681 alpha=90.01 beta=90.01 gamma=60.00
Fractional coordinates of all 6 atoms:
Si 0.8333 0.8333 0.5637
Si 0.1667 0.1667 0.4363
Tm 0.8332 0.8333 0.1809
Tm 0.1668 0.1667 0.8191
H 0.8336 0.8333 0.9183
H 0.1664 0.1667 0.0817

=====

8.
An optimized crystal structure of Tm3Si2H. Source: Alexandria, functional PBE.

Computed properties:
Calculated total energy, eV per atom: -5.071
Density, g/cm³: 7.2
Space group: No. 15

Unit cell a=5.6157 b=7.8397 c=6.8325 alpha=106.61 beta=114.26 gamma=90.00
Fractional coordinates of all 12 atoms:
Tm 0.8319 0.4166 0.6691
Tm 0.8372 0.9166 0.6691
Tm 0.1628 0.0834 0.3309
Tm 0.1681 0.5834 0.3309
Tm 0.5299 0.7500 0.0000
Tm 0.4701 0.2500 0.0000
Si 0.3321 0.4183 0.6710
Si 0.6611 0.0817 0.3290
Si 0.3389 0.9183 0.6710
Si 0.6679 0.5817 0.3290
H 0.0419 0.2500 0.0000
H 0.9581 0.7500 0.0000

=====

9.
An optimized crystal structure of Tm2SiH. Source: Alexandria, functional PBE.

Computed properties:
Calculated total energy, eV per atom: -4.850
Density, g/cm³: 7.7
Excess energy over the best structure of this formula in the dataset, eV/f.u.: 0.000
Space group: No. 12

Unit cell a=6.0644 b=6.0671 c=6.0613 alpha=38.77 beta=38.73 gamma=38.83
Fractional coordinates of all 4 atoms:
Tm 0.0459 0.4917 0.7374
Tm 0.5570 0.0004 0.2514
H 0.3002 0.7464 0.9952
Si 0.8014 0.2461 0.4944

=====

10.
An optimized crystal structure of USiH. Source: Alexandria, functional PBE.

Computed properties:
Calculated total energy, eV per atom: -6.734
Density, g/cm³: 9.5
Excess energy over the best structure of this formula in the dataset, eV/f.u.: 1.035
Space group: No. 187

Unit cell a=3.6638 b=3.8449 c=3.8449 alpha=120.00 beta=90.00 gamma=90.00
Fractional coordinates of all 3 atoms:
U 0.1667 0.0000 0.0000
H 0.1666 0.6667 0.3333
Si 0.6667 0.3333 0.6667

=====

11.
An optimized crystal structure of V8SiH6. Source: Alexandria, functional PBE.

Computed properties:
Calculated total energy, eV per atom: -6.756
Density, g/cm³: 5.4
Space group: No. 148

Unit cell a=5.1489 b=5.1489 c=5.1489 alpha=95.29 beta=95.29 gamma=95.29
Fractional coordinates of all 15 atoms:
V 0.2146 0.5504 0.9056
V 0.0944 0.7854 0.4496
V 0.7854 0.4496 0.0944
V 0.9056 0.2146 0.5504
V 0.5504 0.9056 0.2146
V 0.6775 0.6775 0.6775
V 0.3225 0.3225 0.3225
V 0.4496 0.0944 0.7854
H 0.4312 0.8345 0.5238
H 0.5688 0.1655 0.4762
H 0.5238 0.4312 0.8345
H 0.8345 0.5238 0.4312
H 0.1655 0.4762 0.5688
H 0.4762 0.5688 0.1655
Si 0.0000 0.0000 0.0000

=====

12.
An optimized crystal structure of VSiH. Source: Alexandria, functional PBE.

Computed properties:
Calculated total energy, eV per atom: -6.027
Density, g/cm³: 4.4
Excess energy over the best structure of this formula in the dataset, eV/f.u.: 0.539
Space group: No. 4

Unit cell a=5.3668 b=5.0295 c=5.0105 alpha=117.82 beta=90.00 gamma=90.00
Fractional coordinates of all 12 atoms:
V 0.3582 0.3400 0.4271
V 0.8582 0.6600 0.5729
V 0.8719 0.1586 0.0749
V 0.3719 0.8414 0.9251
H 0.0980 0.9248 0.7587
H 0.2186 0.2146 0.0650
H 0.5980 0.0752 0.2413
H 0.7186 0.7854 0.9350
Si 0.9397 0.1578 0.5730
Si 0.4397 0.8422 0.4270
Si 0.0174 0.6413 0.0893
Si 0.5174 0.3587 0.9107